The following is a DFT calculation (PBE) of a relaxed Dy12Y3Pu crystal.

Geometry as POSCAR:
```
Dy12Y3Pu
1.0
5.007 0.000 0.000
0.000 5.007 0.000
0.000 0.000 20.002
Dy Y Pu
12 3 1
direct
0.000 0.000 0.000
0.000 0.000 0.249
0.000 0.000 0.500
0.000 0.000 0.751
0.000 0.500 0.121
0.000 0.500 0.374
0.000 0.500 0.626
0.000 0.500 0.879
0.500 0.000 0.121
0.500 0.000 0.374
0.500 0.000 0.626
0.500 0.000 0.879
0.500 0.500 0.248
0.500 0.500 0.500
0.500 0.500 0.752
0.500 0.500 0.000
```

Summary:
- ΔE_f: 0.0418 eV/atom
- Total DFT energy (no corrections): -5.52 eV per atom
- Space-group type: No. 123
- Total magnetic moment: 0.387 μB/atom
- ρ: 8.1 g/cm³


The following is a DFT calculation (PBE) of a relaxed AcSiHg crystal.

Geometry as POSCAR:
```
AcSiHg
1.0
3.143 -3.134 0.000
3.143 3.134 0.000
-1.487 0.000 9.022
Ac Si Hg
2 2 2
direct
0.076 0.076 0.304
0.924 0.924 0.696
0.411 0.411 0.605
0.589 0.589 0.395
0.000 0.500 0.000
0.500 0.000 0.000
```

Summary:
- Formation energy from raw total energies: -88 kJ/mol of formula units
- Energy relative to the lowest polymorph listed for this composition: 221 meV per atom
- Total DFT energy (no corrections): -3.58 eV per atom
- Space-group type: No. 12
- Total magnetic moment: 0.000 μB/atom
- ρ: 8.5 g/cm³


The following is a DFT calculation (PBE) of a relaxed BaZrAu3 crystal.

Geometry as POSCAR:
```
BaZrAu3
1.0
5.729 0.000 0.000
0.000 5.729 0.000
0.000 0.000 5.729
Ba Zr Au
1 1 3
direct
0.000 0.000 0.000
0.500 0.500 0.500
0.000 0.000 0.500
0.000 0.500 0.000
0.500 0.000 0.000
```

Summary:
- Energy relative to the lowest polymorph listed for this composition: 1263 meV per atom
- ΔE_f: 1.0188 eV/atom
- Total DFT energy (no corrections): -3.04 eV per atom
- Space-group type: No. 221
- Total magnetic moment: 0.523 μB/atom
- ρ: 7.2 g/cm³


Density of states at the Fermi level (computed, states/eV per atom): 1.7677; 0.4850; 0.8256